(one)
MgCr3H: relaxed, PBE.

Cell: 5.0942 5.0942 5.0942 Å, 90.00 90.00 90.00°
With the nearest neighbours (Å) after each atom.
Element x y z (fractional)
Cr1 0.0000 0.5000 0.0000  2 Mg 2.55
Cr2 0.0000 0.0000 0.5000  2 Mg 2.55
Cr3 0.5000 0.0000 0.0000  2 Mg 2.55
Mg1 0.0000 0.0000 0.0000  6 Cr 2.55
H1 0.5000 0.5000 0.5000  12 Cr 3.60

Output
Magnetization, μB/f.u.: 13.1

(two)
MgCr3H: relaxed, PBE.

Cell: 3.7906 3.7906 3.7906 Å, 90.00 90.00 90.00°
With the nearest neighbours (Å) after each atom.
Element x y z (fractional)
Cr1 0.0000 0.5000 0.0000  2 H 1.90
Cr2 0.0000 0.0000 0.5000  2 H 1.90
Cr3 0.5000 0.0000 0.0000  2 H 1.90
Mg1 0.5000 0.5000 0.5000  12 Cr 2.68
H1 0.0000 0.0000 0.0000  6 Cr 1.90

Output
Magnetization, μB/f.u.: 0.3

Top of the stability list: (two), leading by 160.3 kJ/mol of atoms.

(one)
MgCrH4: relaxed, PBE.

Cell: 4.6400 5.3352 5.0295 Å, 109.54 103.66 115.12°
With the nearest neighbours (Å) after each atom.
Element x y z (fractional)
Mg1 0.3939 0.6439 0.2879  6 H 2.02-2.22
Mg2 0.6061 0.3561 0.7121  6 H 2.02-2.22
Cr1 0.2749 0.0249 0.0498  6 H 1.65-1.82
Cr2 0.7251 0.9751 0.9502  6 H 1.65-1.82
H1 0.9334 0.2130 0.8244  1 Cr 1.65
H2 0.8502 0.7810 0.7028  2 Cr 1.72-1.82
H3 0.3909 0.6114 0.8244  1 Cr 1.65
H4 0.3525 0.9217 0.7028  2 Cr 1.72-1.82
H5 0.6475 0.0783 0.2972  2 Cr 1.72-1.82
H6 0.6091 0.3886 0.1756  1 Cr 1.65
H7 0.1498 0.2190 0.2972  2 Cr 1.72-1.82
H8 0.0666 0.7870 0.1756  1 Cr 1.65

Output
Magnetization, μB/f.u.: 0.0

(two)
MgCrH4: relaxed, PBE.

Cell: 5.3029 4.4164 4.4164 Å, 90.08 114.58 114.58°
With the nearest neighbours (Å) after each atom.
Element x y z (fractional)
Mg1 0.7500 0.6250 0.3750  8 H 1.99
Mg2 0.2500 0.3750 0.6250  8 H 1.99
Cr1 0.2500 0.8750 0.1250  8 H 1.81
Cr2 0.7500 0.1250 0.8750  8 H 1.81
H1 0.9997 0.5000 0.7843  2 Cr 1.81, 1 H 1.90, 2 Mg 1.99
H2 0.9996 0.9996 0.2153  2 Cr 1.81, 1 H 1.90, 2 Mg 1.99
H3 0.5003 0.2157 0.5000  2 Cr 1.81, 1 H 1.90, 2 Mg 1.99
H4 0.5004 0.7847 0.0004  2 Cr 1.81, 1 H 1.90, 2 Mg 1.99
H5 0.4996 0.2153 0.9996  2 Cr 1.81, 1 H 1.90, 2 Mg 1.99
H6 0.4997 0.7843 0.5000  2 Cr 1.81, 1 H 1.90, 2 Mg 1.99
H7 0.0004 0.0004 0.7847  2 Cr 1.81, 1 H 1.90, 2 Mg 1.99
H8 0.0003 0.5000 0.2157  2 Cr 1.81, 1 H 1.90, 2 Mg 1.99

Output
Magnetization, μB/f.u.: 2.0

Top of the stability list: (two), leading by 3.5 kJ/mol of atoms.